1.
The following is a PBE calculation of an optimized crystal structure of AcRuPb2O8, from the Alexandria database.

Summary:
**ΔE_f (raw)**: -15.7 eV per formula unit
**Energy**: -0.4668 Ry per atom

CIF file:
```
data_AcRuPb2O8
_chemical_formula_sum 'Ac1 Ru1 Pb2 O8'
_cell_length_a 5.093
_cell_length_b 6.985
_cell_length_c 5.098
_cell_angle_alpha 90.00
_cell_angle_beta 91.59
_cell_angle_gamma 90.00
_space_group_name_H-M_alt 'P 1 2/m 1'
_space_group_IT_number 10
loop_
_space_group_symop_operation_xyz
'x,y,z'
'-x,-y,-z'
'-x,y,-z'
'x,-y,z'
loop_
_atom_site_label
_atom_site_fract_x
_atom_site_fract_y
_atom_site_fract_z
_atom_site_occupancy
Ac1 0.000 0.000 0.000 1
Ru1 0.000 0.500 0.000 1
Pb1 0.500 0.261 0.500 1
O1 0.202 0.297 0.172 1
O2 0.264 0.500 0.704 1
O3 0.298 0.000 0.648 1
```

2.
The following is a PBE calculation of an optimized crystal structure of SrSnH3, from the Alexandria database.

Summary:
**Energy**: -0.2152 Ry per atom
**Distance to the lowest polymorph of the same formula**: 0.107 eV/atom

CIF file:
```
data_SrSnH3
_chemical_formula_sum 'Sr1 Sn1 H3'
_cell_length_a 4.429
_cell_length_b 4.429
_cell_length_c 4.429
_cell_angle_alpha 90.00
_cell_angle_beta 90.00
_cell_angle_gamma 90.00
_space_group_name_H-M_alt 'P m -3 m'
_space_group_IT_number 221
_space_group_name_Hall '-P 4 2 3'
loop_
_atom_site_label
_atom_site_fract_x
_atom_site_fract_y
_atom_site_fract_z
_atom_site_occupancy
Sr1 0.000 0.000 0.000 1
Sn1 0.500 0.500 0.500 1
H1 0.000 0.000 0.500 1
```